Entry a
This record from the Alexandria database describes a relaxed structure of Pr5Dy3Y2. The functional is PBE.

a = 10.215 Å, b = 10.214 Å, c = 9.167 Å
α = 108.08°, β = 108.09°, γ = 116.29°
Sites, in units of the cell vectors:
Pr 0.879 0.630 0.757
Pr 0.770 0.520 0.040
Pr 0.121 0.370 0.243
Pr 0.230 0.480 0.960
Pr 0.622 0.873 0.243
Pr 0.521 0.771 0.541
Pr 0.981 0.731 0.462
Pr 0.019 0.269 0.538
Pr 0.378 0.127 0.757
Pr 0.479 0.229 0.459
Dy 0.528 0.469 0.249
Dy 0.472 0.531 0.751
Dy 0.779 0.220 0.751
Dy 0.221 0.780 0.249
Dy 0.270 0.020 0.041
Dy 0.730 0.980 0.959
Y 0.973 0.032 0.757
Y 0.716 0.276 0.243
Y 0.284 0.724 0.757
Y 0.027 0.968 0.243

symmetry = C2/c, No. 15
N(E_F) = 34.52 states/eV/cell

=====

Entry b
This record from the Alexandria database describes a relaxed structure of Pr5Dy3Y2. The functional is PBE.

a = 6.531 Å, b = 11.140 Å, c = 11.140 Å
α = 102.71°, β = 72.95°, γ = 72.95°
Sites, in units of the cell vectors:
Pr 0.250 0.500 0.500
Pr 0.003 0.247 0.247
Pr 0.413 0.256 0.918
Pr 0.913 0.918 0.256
Pr 0.997 0.753 0.753
Pr 0.587 0.744 0.082
Pr 0.750 0.500 0.500
Pr 0.503 0.247 0.247
Pr 0.087 0.082 0.744
Pr 0.497 0.753 0.753
Y 0.093 0.576 0.237
Y 0.407 0.763 0.424
Y 0.907 0.424 0.763
Y 0.593 0.237 0.576
Dy 0.750 0.000 0.000
Dy 0.239 0.093 0.430
Dy 0.761 0.907 0.570
Dy 0.739 0.430 0.093
Dy 0.250 0.000 0.000
Dy 0.261 0.570 0.907

symmetry = Ibam, No. 72
N(E_F) = 29.39 states/eV/cell

=====

Energy relative to the most stable one, in kJ/mol of atoms: entry a 0.0; entry b 11.8

=====

Entry a
This record from the Alexandria database describes a relaxed structure of PrDy4Y. The functional is PBE.

a = 5.045 Å, b = 8.008 Å, c = 11.335 Å
α = 148.13°, β = 89.93°, γ = 108.41°
Sites, in units of the cell vectors:
Dy 0.334 0.668 0.001
Dy 0.833 0.667 0.502
Dy 0.666 0.332 0.999
Dy 0.167 0.333 0.498
Pr 0.500 0.000 0.500
Y 0.000 0.000 0.000

symmetry = P-1, No. 2
N(E_F) = 8.26 states/eV/cell

=====

Entry b
This record from the Alexandria database describes a relaxed structure of PrDy4Y. The functional is PBE.

a = 6.612 Å, b = 6.612 Å, c = 6.612 Å
α = 60.00°, β = 60.00°, γ = 60.00°
Each line ends with the local moment (μB).
Sites, in units of the cell vectors:
Dy 0.625 0.124 0.625  0.04
Dy 0.625 0.625 0.124  0.04
Dy 0.124 0.625 0.625  0.04
Dy 0.625 0.625 0.625  0.04
Pr 0.250 0.250 0.250  0.18
Y 0.000 0.000 0.000  0.10

symmetry = F-43m, No. 216
N(E_F) = 11.65 states/eV/cell

=====

Entry c
This record from the Alexandria database describes a relaxed structure of PrDy4Y. The functional is PBE.

a = 6.394 Å, b = 7.191 Å, c = 9.676 Å
α = 108.41°, β = 105.53°, γ = 99.71°
Sites, in units of the cell vectors:
Dy 0.263 0.321 0.480
Dy 0.847 0.372 0.218
Dy 0.871 0.845 0.218
Dy 0.283 0.841 0.520
Dy 0.737 0.679 0.520
Dy 0.153 0.628 0.782
Dy 0.129 0.155 0.782
Dy 0.717 0.159 0.480
Pr 0.305 0.055 0.110
Pr 0.695 0.945 0.890
Y 0.326 0.576 0.153
Y 0.674 0.424 0.847

symmetry = C2/c, No. 15
N(E_F) = 15.73 states/eV/cell

=====

Energy relative to the most stable one, in kJ/mol of atoms: entry a 0.0; entry b 22.7; entry c 5.7

=====

Entry a
This record from the Alexandria database describes a relaxed structure of Pr7DyY3. The functional is PBE.

a = 6.530 Å, b = 7.853 Å, c = 7.853 Å
α = 82.17°, β = 85.88°, γ = 85.88°
Sites, in units of the cell vectors:
Pr 0.739 0.922 0.575
Pr 0.784 0.239 0.239
Pr 0.216 0.761 0.761
Pr 0.000 0.500 0.500
Pr 0.261 0.425 0.078
Pr 0.261 0.078 0.425
Pr 0.739 0.575 0.922
Y 0.000 0.168 0.832
Y 0.000 0.832 0.168
Y 0.500 0.000 0.000
Dy 0.500 0.500 0.500

symmetry = C2/m, No. 12
N(E_F) = 16.15 states/eV/cell

=====

Entry b
This record from the Alexandria database describes a relaxed structure of Pr7DyY3. The functional is PBE.

a = 8.788 Å, b = 7.264 Å, c = 7.264 Å
α = 120.00°, β = 90.00°, γ = 90.00°
Sites, in units of the cell vectors:
Pr 0.458 0.333 0.167
Pr 0.109 0.167 0.833
Pr 0.458 0.833 0.167
Pr 0.109 0.666 0.833
Pr 0.126 0.667 0.333
Pr 0.109 0.167 0.334
Pr 0.458 0.833 0.667
Y 0.781 0.499 0.501
Y 0.781 0.002 0.501
Y 0.781 0.499 0.998
Dy 0.443 0.333 0.667

symmetry = P3m1, No. 156
N(E_F) = 17.38 states/eV/cell

=====

Energy relative to the most stable one, in kJ/mol of atoms: entry a 5.5; entry b 0.0